! Re5Tc (SCAN, single point on PBEsol structure); values from VASP
! Total moment = 0.000 μB/cell
! Space-group type = No. 8
! Energy of formation from the pure elements = -0.004 eV per atom
&SYSTEM
  ibrav = 0, nat = 6, ntyp = 2
/
ATOMIC_SPECIES
Re 186.21 Re.upf
Tc 98.00 Tc.upf
CELL_PARAMETERS angstrom
-1.5810 1.9939 -1.0393
0.3571 -3.5782 -3.7789
-4.9759 -2.0277 3.6612
ATOMIC_POSITIONS crystal
Re 0.0005 0.0005 0.9998
Re 0.3880 0.7767 0.2778
Re 0.6675 0.3343 0.3323
Re 0.0559 0.1121 0.6120
Re 0.3331 0.6659 0.6681
Tc 0.7216 0.4438 0.9434